No. 1
VASP calculation (PBE-GGA) on a geometry-optimized DyTmAg2O4 structure.

The structure in POSCAR format:
```
DyTmAg2O4
1.0
3.444 0.000 0.000
-1.722 2.983 0.000
0.000 0.000 12.506
Ag Dy O Tm
2 1 4 1
Direct
0.333 0.667 0.248
0.667 0.333 0.752
0.000 0.000 0.500
0.333 0.667 0.083
0.333 0.667 0.414
0.667 0.333 0.586
0.667 0.333 0.917
0.000 0.000 0.000
```

Values from the calculation:
DFT total energy in eV for the cell shown: -53.01

---

No. 2
VASP calculation (PBE-GGA) on a geometry-optimized NbGeTe structure.

The structure in POSCAR format:
```
NbGeTe
1.0
0.000 3.259 3.259
3.259 0.000 3.259
3.259 3.259 0.000
Ge Nb Te
1 1 1
Direct
0.000 0.000 0.000
0.250 0.250 0.250
0.750 0.750 0.750
```

Values from the calculation:
DFT total energy in eV for the cell shown: -15.95

---

No. 3
VASP calculation (PBE-GGA) on a geometry-optimized BaRe2H2O9 structure.

The structure in POSCAR format:
```
BaRe2H2O9
1.0
7.149 -0.003 0.005
-0.062 7.399 0.016
-1.546 0.001 15.215
Ba H O Re
4 8 36 8
Direct
0.277 0.318 0.141
0.716 0.309 0.360
0.284 0.691 0.640
0.723 0.682 0.859
0.575 0.000 0.213
0.914 0.047 0.219
0.417 0.993 0.277
0.077 0.068 0.291
0.923 0.932 0.709
0.583 0.007 0.723
0.086 0.953 0.781
0.425 0.000 0.787
0.713 0.627 0.034
0.933 0.305 0.039
0.189 0.007 0.059
0.578 0.153 0.064
0.372 0.672 0.100
0.023 0.595 0.162
0.749 0.859 0.185
0.657 0.470 0.200
0.497 0.079 0.247
0.991 0.141 0.252
0.244 0.853 0.304
0.321 0.465 0.307
0.956 0.607 0.337
0.620 0.651 0.414
0.820 0.986 0.432
0.418 0.130 0.435
0.074 0.305 0.450
0.265 0.660 0.464
0.735 0.340 0.536
0.926 0.695 0.550
0.582 0.870 0.565
0.180 0.014 0.568
0.380 0.349 0.586
0.044 0.393 0.663
0.679 0.535 0.693
0.756 0.147 0.696
0.009 0.859 0.748
0.503 0.921 0.753
0.343 0.530 0.800
0.251 0.141 0.815
0.977 0.405 0.838
0.628 0.328 0.900
0.422 0.847 0.936
0.811 0.993 0.941
0.067 0.695 0.961
0.287 0.373 0.966
0.263 0.806 0.014
0.781 0.638 0.146
0.199 0.643 0.352
0.737 0.802 0.490
0.263 0.198 0.510
0.801 0.357 0.648
0.219 0.362 0.854
0.737 0.194 0.986
```

Values from the calculation:
DFT total energy in eV for the cell shown: -411.52

---

No. 4
VASP calculation (PBE-GGA) on a geometry-optimized YZnCoBi structure.

The structure in POSCAR format:
```
YZnCoBi
1.0
0.000 3.443 3.443
3.443 0.000 3.443
3.443 3.443 0.000
Bi Co Y Zn
1 1 1 1
Direct
0.000 0.000 0.000
0.750 0.750 0.750
0.250 0.250 0.250
0.500 0.500 0.500
```

Values from the calculation:
DFT total energy in eV for the cell shown: -18.73

---

- Among the records above, which one has the highest DFT total energy?
  NbGeTe

---

- Which value of DFT total energy does entry 1 give?
  -53.01 eV for the cell shown

---

- The lowest DFT total energy belongs to which entry?
  BaRe2H2O9